No. 1
# V4Cr2Fe

A geometry-optimized V4Cr2Fe structure (PBE, the Alexandria database).

Output
total energy	-8.275	eV/atom
ΔH_f (0 K)	0.895	eV per atom
distance to the lowest polymorph of the same formula	0.731	eV per atom

```
data_V4Cr2Fe
_space_group_name_H-M_alt 'P 1'
_space_group_IT_number 1
_cell_length_a 4.2411
_cell_length_b 4.2411
_cell_length_c 6.6347
_cell_angle_alpha 71.36
_cell_angle_beta 71.36
_cell_angle_gamma 90.00
loop_
_space_group_symop_operation_xyz
'x,y,z'
loop_
_atom_site_label
_atom_site_fract_x
_atom_site_fract_y
_atom_site_fract_z
Fe1 0.0000 0.0000 0.0000
V1 0.1924 0.1924 0.6152
V2 0.0000 0.5000 0.0000
V3 0.8076 0.8076 0.3848
V4 0.5000 0.0000 0.0000
Cr1 0.6233 0.6233 0.7533
Cr2 0.3767 0.3767 0.2467
```

=====

No. 2
# SrCr2Si

A geometry-optimized SrCr2Si structure (PBE, the Alexandria database).

Output
total energy	-6.224	eV/atom
raw formation energy	1.5	eV per formula unit

```
data_SrCr2Si
_space_group_name_H-M_alt 'P 1'
_space_group_IT_number 1
_cell_length_a 6.2998
_cell_length_b 6.2998
_cell_length_c 6.2998
_cell_angle_alpha 39.72
_cell_angle_beta 39.72
_cell_angle_gamma 39.72
loop_
_space_group_symop_operation_xyz
'x,y,z'
loop_
_atom_site_label
_atom_site_fract_x
_atom_site_fract_y
_atom_site_fract_z
Cr1 0.5495 0.5495 0.5495
Cr2 0.9505 0.9505 0.9505
Si1 0.2500 0.2500 0.2500
Sr1 0.7500 0.7500 0.7500
```

=====

What did the second record say?
# SrCr2Si

A geometry-optimized SrCr2Si structure (PBE, the Alexandria database).

Output
total energy	-6.224	eV/atom
raw formation energy	1.5	eV per formula unit

```
data_SrCr2Si
_space_group_name_H-M_alt 'P 1'
_space_group_IT_number 1
_cell_length_a 6.2998
_cell_length_b 6.2998
_cell_length_c 6.2998
_cell_angle_alpha 39.72
_cell_angle_beta 39.72
_cell_angle_gamma 39.72
loop_
_space_group_symop_operation_xyz
'x,y,z'
loop_
_atom_site_label
_atom_site_fract_x
_atom_site_fract_y
_atom_site_fract_z
Cr1 0.5495 0.5495 0.5495
Cr2 0.9505 0.9505 0.9505
Si1 0.2500 0.2500 0.2500
Sr1 0.7500 0.7500 0.7500
```